DFT (PBE) results for a geometry-optimized Ce8HoSn6 structure.

Computed properties:
VASP energy, Ry per atom: -0.4005
Calculated formation energy, eV per atom: -0.377

Geometry as extended XYZ:
```
15
Lattice="-1.064 -7.934 -4.845 6.019 -2.152 -6.833 5.397 -6.478 0.387" Properties=species:S:1:pos:R:3 pbc="T T T"
Ce 2.457 -6.847 -4.269
Ce 3.973 -10.268 -8.086
Ce 3.319 -6.737 -7.767
Ce 6.758 -5.782 -7.258
Ce 6.380 -6.295 -3.205
Ce 7.033 -9.826 -3.524
Ce 7.896 -9.716 -7.023
Ce 3.594 -10.781 -4.034
Sn 6.071 -8.172 -9.220
Sn 4.281 -8.391 -2.071
Sn 4.512 -4.672 -5.307
Sn 1.663 -9.271 -6.161
Sn 5.840 -11.892 -5.984
Sn 8.690 -7.293 -5.130
Ho 0.000 0.000 0.000
```



DFT (PBE) results for a geometry-optimized CeHoSn2 structure.

Computed properties:
VASP energy, Ry per atom: -0.3871
Calculated formation energy, eV per atom: -0.637

Geometry as extended XYZ:
```
4
Lattice="-4.536 0.481 -0.229 -0.250 -0.292 4.344 2.853 5.489 0.534" Properties=species:S:1:pos:R:3 pbc="T T T"
Sn 1.619 4.819 2.607
Sn -3.012 3.324 0.050
Ce -0.476 5.685 0.355
Ho -0.916 2.471 2.302
```